Entry 1:
This record from Alexandria via LeMat-Bulk describes Y2AlCu at its PBEsol-relaxed geometry. The functional is SCAN.

Cell lengths 3.495, 4.983, 4.983 Å; angles 90.00, 90.00, 90.00 degrees
Fractional positions:
1 Y 0.000 0.500 0.000
2 Y 0.000 0.000 0.500
3 Cu 0.500 0.000 0.000
4 Al 0.500 0.500 0.500

calculated density: 5.13 g/cm³
formation energy from the elements: -0.322 eV per atom
uncorrected energy: -19.981 eV per atom
total magnetization: 0.0006 μB per atom

***

Entry 2:
This record from Alexandria via LeMat-Bulk describes KCoTe2 at its PBEsol-relaxed geometry. The functional is SCAN.

Cell lengths 3.366, 3.366, 8.443 Å; angles 90.00, 90.00, 90.00 degrees
Last column: magnetic moment on the atom in μB.
Fractional positions:
1 K 0.500 0.500 0.500  0.02
2 Te 0.000 0.000 0.187  -0.02
3 Te 0.000 0.000 0.813  -0.02
4 Co 0.500 0.500 0.000  1.94

formation energy (no corrections): -0.05 eV/atom
calculated density: 6.13 g/cm³
uncorrected energy: -25.088 eV per atom
total magnetization: 0.4996 μB per atom

***

Entry 3:
This record from Alexandria via LeMat-Bulk describes Ba4P3HF24 at its PBEsol-relaxed geometry. The functional is SCAN.

Cell lengths 4.713, 9.043, 11.566 Å; angles 67.84, 85.64, 78.73 degrees
Fractional positions:
1 F 0.709 0.613 0.492
2 F 0.660 0.840 0.541
3 F 0.113 0.694 0.533
4 F 0.022 0.717 0.333
5 F 0.593 0.601 0.013
6 F 0.203 0.947 0.897
7 F 0.340 0.160 0.459
8 F 0.291 0.387 0.508
9 F 0.978 0.283 0.667
10 F 0.887 0.306 0.467
11 F 0.430 0.136 0.659
12 F 0.570 0.864 0.341
13 F 0.257 0.911 0.103
14 F 0.146 0.476 0.222
15 F 0.854 0.524 0.778
16 F 0.719 0.285 0.232
17 F 0.970 0.947 0.381
18 F 0.407 0.399 0.987
19 F 0.797 0.053 0.103
20 F 0.281 0.715 0.768
21 F 0.873 0.832 0.043
22 F 0.127 0.168 0.957
23 F 0.030 0.053 0.619
24 F 0.743 0.089 0.897
25 H 0.500 0.500 0.000
26 Ba 0.394 0.439 0.749
27 Ba 0.257 0.197 0.206
28 Ba 0.606 0.561 0.251
29 Ba 0.743 0.803 0.794
30 P 0.000 0.000 0.000
31 P 0.843 0.780 0.438
32 P 0.157 0.220 0.562

calculated density: 4.08 g/cm³
uncorrected energy: -11.934 eV per atom
total magnetization: 0.0027 μB per atom

***

Entry 4:
This record from Alexandria via LeMat-Bulk describes Re2Cl at its PBEsol-relaxed geometry. The functional is SCAN.

Cell lengths 2.860, 4.146, 4.146 Å; angles 120.00, 90.00, 90.00 degrees
Fractional positions:
1 Re 0.752 0.333 0.667
2 Re 0.248 0.667 0.333
3 Cl 0.000 0.000 0.000

formation energy (no corrections): 0.99 eV/atom
offset from the most stable computed form: 81.2 kJ per mole of atoms
calculated density: 15.90 g/cm³
uncorrected energy: -49.072 eV per atom
total magnetization: 0.0000 μB per atom

***

Entry 5:
This record from Alexandria via LeMat-Bulk describes CsNb2Br at its PBEsol-relaxed geometry. The functional is SCAN.

Cell lengths 4.820, 4.820, 4.820 Å; angles 60.00, 60.00, 60.00 degrees
Last column: magnetic moment on the atom in μB.
Fractional positions:
1 Br 0.000 0.000 0.000  0.01
2 Nb 0.750 0.750 0.750  0.23
3 Nb 0.250 0.250 0.250  0.23
4 Cs 0.500 0.500 0.500  -0.27

formation energy (no corrections): 1.80 eV/atom
calculated density: 8.36 g/cm³
uncorrected energy: -29.086 eV per atom
total magnetization: 0.1719 μB per atom

***

Entry 6:
This record from Alexandria via LeMat-Bulk describes TeAs2Ir at its PBEsol-relaxed geometry. The functional is SCAN.

Cell lengths 4.070, 4.304, 5.259 Å; angles 91.02, 90.00, 90.00 degrees
Fractional positions:
1 Ir 0.000 0.498 0.424
2 As 0.500 0.644 0.174
3 As 0.000 0.020 0.186
4 Te 0.500 0.338 0.716

formation energy (no corrections): -0.02 eV/atom
calculated density: 8.47 g/cm³
uncorrected energy: -37.199 eV per atom
total magnetization: 0.0000 μB per atom

***

Entry 7:
This record from Alexandria via LeMat-Bulk describes BeFe3S at its PBEsol-relaxed geometry. The functional is SCAN.

Cell lengths 3.926, 3.926, 3.926 Å; angles 90.00, 90.00, 90.00 degrees
Last column: magnetic moment on the atom in μB.
Fractional positions:
1 Be 0.000 0.000 0.000  -0.20
2 Fe 0.000 0.000 0.500  2.68
3 Fe 0.000 0.500 0.000  2.68
4 Fe 0.500 0.000 0.000  2.68
5 S 0.500 0.500 0.500  0.14

formation energy (no corrections): 0.64 eV/atom
calculated density: 5.72 g/cm³
uncorrected energy: -13.032 eV per atom
total magnetization: 1.5955 μB per atom

***

Entry 8:
This record from Alexandria via LeMat-Bulk describes Sr2CrPbSe at its PBEsol-relaxed geometry. The functional is SCAN.

Cell lengths 4.786, 5.813, 5.813 Å; angles 90.00, 90.00, 90.00 degrees
Last column: magnetic moment on the atom in μB.
Fractional positions:
1 Sr 0.000 0.000 0.500  0.01
2 Sr 0.000 0.500 0.000  0.01
3 Pb 0.500 0.500 0.500  -0.07
4 Cr 0.500 0.000 0.000  4.05
5 Se 0.000 0.000 0.000  -0.03

formation energy (no corrections): -0.72 eV/atom
calculated density: 5.27 g/cm³
uncorrected energy: -32.483 eV per atom
total magnetization: 0.8930 μB per atom

***

Entry 9:
This record from Alexandria via LeMat-Bulk describes MnInBr2 at its PBEsol-relaxed geometry. The functional is SCAN.

Cell lengths 3.552, 5.694, 6.177 Å; angles 117.46, 106.71, 90.00 degrees
Last column: magnetic moment on the atom in μB.
Fractional positions:
1 Br 0.177 0.176 0.353  0.06
2 Br 0.823 0.824 0.647  0.06
3 In 0.000 0.500 0.000  -0.02
4 Mn 0.500 0.000 0.000  4.29

formation energy (no corrections): -0.60 eV/atom
offset from the most stable computed form: 0.0 kJ per mole of atoms
calculated density: 5.22 g/cm³
uncorrected energy: -23.238 eV per atom
total magnetization: 1.1499 μB per atom

***

Entry 10:
This record from Alexandria via LeMat-Bulk describes ErAgSn at its PBEsol-relaxed geometry. The functional is SCAN.

Cell lengths 4.635, 4.635, 7.207 Å; angles 90.00, 90.00, 120.00 degrees
Fractional positions:
1 Sn 0.333 0.667 0.033
2 Sn 0.667 0.333 0.533
3 Er 0.000 0.000 0.255
4 Er 0.000 0.000 0.755
5 Ag 0.667 0.333 0.939
6 Ag 0.333 0.667 0.439

calculated density: 9.76 g/cm³
formation energy from the elements: -0.677 eV per atom
uncorrected energy: -39.887 eV per atom
total magnetization: 0.0000 μB per atom

***

Entry 11:
This record from Alexandria via LeMat-Bulk describes Ca2Bi3O8 at its PBEsol-relaxed geometry. The functional is SCAN.

Cell lengths 6.936, 6.936, 10.100 Å; angles 90.00, 90.00, 120.00 degrees
Fractional positions:
1 Bi 0.833 0.666 0.757
2 Bi 0.167 0.833 0.257
3 Bi 0.666 0.833 0.257
4 Bi 0.833 0.167 0.757
5 Bi 0.167 0.334 0.257
6 Bi 0.334 0.167 0.757
7 Ca 0.667 0.333 0.470
8 Ca 0.333 0.667 0.625
9 Ca 0.667 0.333 0.125
10 Ca 0.333 0.667 0.970
11 O 0.951 0.476 0.631
12 O 0.049 0.524 0.131
13 O 0.476 0.524 0.131
14 O 0.667 0.333 0.881
15 O 0.524 0.476 0.631
16 O 0.175 0.825 0.838
17 O 0.000 0.000 0.653
18 O 0.524 0.049 0.631
19 O 0.476 0.951 0.131
20 O 0.825 0.650 0.338
21 O 0.350 0.175 0.338
22 O 0.650 0.825 0.838
23 O 0.000 0.000 0.153
24 O 0.825 0.175 0.338
25 O 0.175 0.350 0.838
26 O 0.333 0.667 0.381

formation energy (no corrections): -1.58 eV/atom
offset from the most stable computed form: 3.0 kJ per mole of atoms
calculated density: 6.59 g/cm³
uncorrected energy: -25.031 eV per atom
total magnetization: 0.0004 μB per atom

***

Entry 12:
This record from Alexandria via LeMat-Bulk describes MnP2SBr at its PBEsol-relaxed geometry. The functional is SCAN.

Cell lengths 4.242, 4.464, 4.464 Å; angles 90.00, 90.00, 90.00 degrees
Fractional positions:
1 Mn 0.000 0.000 0.000
2 Br 0.500 0.500 0.500
3 P 0.000 0.000 0.500
4 P 0.000 0.500 0.000
5 S 0.500 0.000 0.000

formation energy (no corrections): 0.50 eV/atom
calculated density: 4.50 g/cm³
uncorrected energy: -13.127 eV per atom
total magnetization: 0.0003 μB per atom

***

Entry 13:
This record from Alexandria via LeMat-Bulk describes ZrAl2Ni5 at its PBEsol-relaxed geometry. The functional is SCAN.

Cell lengths 3.802, 3.802, 7.260 Å; angles 105.18, 105.18, 90.00 degrees
Fractional positions:
1 Ni 0.634 0.134 0.269
2 Ni 0.134 0.634 0.269
3 Ni 0.866 0.366 0.731
4 Ni 0.366 0.866 0.731
5 Ni 0.500 0.500 0.000
6 Al 0.252 0.252 0.504
7 Al 0.748 0.748 0.496
8 Zr 0.000 0.000 0.000

calculated density: 7.47 g/cm³
formation energy from the elements: -0.590 eV per atom
uncorrected energy: -16.474 eV per atom
total magnetization: 0.0000 μB per atom

***

Entry 14:
This record from Alexandria via LeMat-Bulk describes CaLu2O4 at its PBEsol-relaxed geometry. The functional is SCAN.

Cell lengths 3.258, 9.575, 11.421 Å; angles 90.00, 90.00, 90.00 degrees
Fractional positions:
1 Ca 0.750 0.253 0.149
2 Ca 0.250 0.247 0.649
3 Ca 0.250 0.747 0.851
4 Ca 0.750 0.753 0.351
5 O 0.750 0.509 0.215
6 O 0.750 0.424 0.580
7 O 0.750 0.713 0.681
8 O 0.250 0.491 0.785
9 O 0.250 0.076 0.080
10 O 0.750 0.009 0.285
11 O 0.750 0.631 0.980
12 O 0.750 0.213 0.819
13 O 0.750 0.924 0.920
14 O 0.250 0.369 0.020
15 O 0.750 0.131 0.520
16 O 0.250 0.576 0.420
17 O 0.250 0.787 0.181
18 O 0.250 0.869 0.480
19 O 0.250 0.287 0.319
20 O 0.250 0.991 0.715
21 Lu 0.250 0.079 0.888
22 Lu 0.750 0.424 0.889
23 Lu 0.750 0.921 0.112
24 Lu 0.250 0.076 0.389
25 Lu 0.750 0.421 0.388
26 Lu 0.250 0.579 0.612
27 Lu 0.250 0.576 0.111
28 Lu 0.750 0.924 0.611

formation energy (no corrections): -3.81 eV/atom
calculated density: 8.47 g/cm³
uncorrected energy: -24.561 eV per atom
total magnetization: 0.0000 μB per atom

***

Entry 15:
This record from Alexandria via LeMat-Bulk describes ZnTeAs2 at its PBEsol-relaxed geometry. The functional is SCAN.

Cell lengths 2.947, 5.233, 6.001 Å; angles 90.00, 105.24, 90.00 degrees
Fractional positions:
1 Te 0.355 0.000 0.579
2 Zn 0.425 0.500 0.727
3 As 0.102 0.000 0.104
4 As 0.118 0.500 0.090

formation energy (no corrections): 0.12 eV/atom
offset from the most stable computed form: 0.0 kJ per mole of atoms
calculated density: 6.38 g/cm³
uncorrected energy: -22.667 eV per atom
total magnetization: 0.0000 μB per atom

***

Entry 16:
This record from Alexandria via LeMat-Bulk describes TlPRh3 at its PBEsol-relaxed geometry. The functional is SCAN.

Cell lengths 4.843, 4.843, 4.843 Å; angles 90.00, 90.00, 90.00 degrees
Last column: magnetic moment on the atom in μB.
Fractional positions:
1 Rh 0.500 0.000 0.000  0.90
2 Rh 0.000 0.000 0.500  0.90
3 Rh 0.000 0.500 0.000  0.90
4 P 0.500 0.500 0.500  0.10
5 Tl 0.000 0.000 0.000  -0.05

calculated density: 7.95 g/cm³
formation energy from the elements: 1.969 eV per atom
uncorrected energy: -34.846 eV per atom
total magnetization: 0.5676 μB per atom

***

Entry 17:
This record from Alexandria via LeMat-Bulk describes Li2ScSn2 at its PBEsol-relaxed geometry. The functional is SCAN.

Cell lengths 3.077, 7.898, 7.898 Å; angles 90.00, 90.00, 90.00 degrees
Last column: magnetic moment on the atom in μB.
Fractional positions:
1 Sc 0.000 0.500 0.500  0.39
2 Sc 0.000 0.000 0.000  0.39
3 Li 0.000 0.613 0.113  0.00
4 Li 0.000 0.387 0.887  0.00
5 Li 0.000 0.887 0.613  0.00
6 Li 0.000 0.113 0.387  0.00
7 Sn 0.500 0.817 0.317  0.00
8 Sn 0.500 0.317 0.183  0.00
9 Sn 0.500 0.183 0.683  0.00
10 Sn 0.500 0.683 0.817  0.00

calculated density: 5.13 g/cm³
formation energy from the elements: -0.451 eV per atom
uncorrected energy: -18.622 eV per atom
total magnetization: 0.1112 μB per atom

***

Entry 18:
This record from Alexandria via LeMat-Bulk describes HoCuGe at its PBEsol-relaxed geometry. The functional is SCAN.

Cell lengths 3.635, 4.148, 4.148 Å; angles 120.00, 90.00, 90.00 degrees
Fractional positions:
1 Ho 0.000 0.000 0.000
2 Cu 0.500 0.667 0.333
3 Ge 0.500 0.333 0.667

calculated density: 9.23 g/cm³
formation energy from the elements: -0.732 eV per atom
uncorrected energy: -28.490 eV per atom
total magnetization: 0.0002 μB per atom

***

Entry 19:
This record from Alexandria via LeMat-Bulk describes YMn2Pb at its PBEsol-relaxed geometry. The functional is SCAN.

Cell lengths 3.780, 3.780, 6.637 Å; angles 73.45, 73.45, 60.00 degrees
Fractional positions:
1 Mn 0.718 0.718 0.847
2 Mn 0.038 0.038 0.885
3 Y 0.271 0.271 0.187
4 Pb 0.473 0.473 0.581

calculated density: 8.69 g/cm³
formation energy from the elements: 0.086 eV per atom
uncorrected energy: -34.948 eV per atom
total magnetization: 0.0000 μB per atom

***

Entry 20:
This record from Alexandria via LeMat-Bulk describes Cr3C at its PBEsol-relaxed geometry. The functional is SCAN.

Cell lengths 4.458, 5.140, 6.577 Å; angles 90.00, 90.00, 90.00 degrees
Fractional positions:
1 C 0.432 0.126 0.250
2 C 0.932 0.374 0.750
3 C 0.068 0.626 0.250
4 C 0.568 0.874 0.750
5 Cr 0.157 0.323 0.059
6 Cr 0.657 0.177 0.559
7 Cr 0.157 0.323 0.441
8 Cr 0.657 0.177 0.941
9 Cr 0.843 0.677 0.941
10 Cr 0.344 0.529 0.750
11 Cr 0.656 0.471 0.250
12 Cr 0.343 0.823 0.059
13 Cr 0.156 0.029 0.750
14 Cr 0.843 0.677 0.559
15 Cr 0.343 0.823 0.441
16 Cr 0.844 0.971 0.250

offset from the most stable computed form: 0.0 kJ per mole of atoms
calculated density: 7.41 g/cm³
formation energy from the elements: -0.053 eV per atom
uncorrected energy: -16.366 eV per atom
total magnetization: 0.0000 μB per atom

***

Entry 21:
This record from Alexandria via LeMat-Bulk describes CaSbAu2 at its PBEsol-relaxed geometry. The functional is SCAN.

Cell lengths 3.386, 4.663, 5.662 Å; angles 90.00, 90.00, 90.00 degrees
Fractional positions:
1 Au 0.000 0.000 0.263
2 Au 0.000 0.000 0.737
3 Ca 0.500 0.500 0.500
4 Sb 0.000 0.500 0.000

formation energy (no corrections): -0.69 eV/atom
calculated density: 10.32 g/cm³
uncorrected energy: -46.995 eV per atom
total magnetization: 0.0000 μB per atom

***

Entry 22:
This record from Alexandria via LeMat-Bulk describes CaZrAs2Se at its PBEsol-relaxed geometry. The functional is SCAN.

Cell lengths 5.035, 5.035, 5.095 Å; angles 90.00, 90.00, 90.00 degrees
Last column: magnetic moment on the atom in μB.
Fractional positions:
1 As 0.000 0.500 0.000  -0.07
2 As 0.500 0.000 0.000  -0.07
3 Ca 0.000 0.000 0.000  0.02
4 Se 0.000 0.000 0.500  -0.07
5 Zr 0.500 0.500 0.500  0.83

formation energy (no corrections): 0.51 eV/atom
offset from the most stable computed form: 119.6 kJ per mole of atoms
calculated density: 4.63 g/cm³
uncorrected energy: -19.653 eV per atom
total magnetization: 0.1608 μB per atom

***

Entry 23:
This record from Alexandria via LeMat-Bulk describes Fe2Re3 at its PBEsol-relaxed geometry. The functional is SCAN.

Cell lengths 6.339, 6.339, 6.339 Å; angles 90.00, 90.00, 90.00 degrees
Fractional positions:
1 Fe 0.059 0.059 0.059
2 Fe 0.691 0.691 0.691
3 Fe 0.809 0.309 0.191
4 Fe 0.191 0.809 0.309
5 Fe 0.441 0.941 0.559
6 Fe 0.559 0.441 0.941
7 Fe 0.941 0.559 0.441
8 Fe 0.309 0.191 0.809
9 Re 0.198 0.448 0.125
10 Re 0.802 0.948 0.375
11 Re 0.698 0.052 0.875
12 Re 0.448 0.125 0.198
13 Re 0.052 0.875 0.698
14 Re 0.302 0.552 0.625
15 Re 0.125 0.198 0.448
16 Re 0.552 0.625 0.302
17 Re 0.948 0.375 0.802
18 Re 0.875 0.698 0.052
19 Re 0.375 0.802 0.948
20 Re 0.625 0.302 0.552

calculated density: 17.48 g/cm³
formation energy from the elements: 0.104 eV per atom
uncorrected energy: -49.806 eV per atom
total magnetization: 0.0000 μB per atom